## Pa6AsC3S2 (PBE)

Data for crystalline Pa6AsC3S2 at its relaxed geometry.

Cell and atoms, written as CIF:
```
data_Pa6AsC3S2
_chemical_formula_sum 'Pa12 As2 C6 S4'
_cell_length_a 16.775
_cell_length_b 3.703
_cell_length_c 7.751
_cell_angle_alpha 90.00
_cell_angle_beta 107.00
_cell_angle_gamma 90.00
_symmetry_space_group_name_H-M 'C 1 2/m 1'
_symmetry_Int_Tables_number 12
loop_
_symmetry_equiv_pos_as_xyz
'x,y,z'
'-x,-y,-z'
'-x,y,-z'
'x,-y,z'
'x+1/2,y+1/2,z'
'-x+1/2,-y+1/2,-z'
'-x+1/2,y+1/2,-z'
'x+1/2,-y+1/2,z'
loop_
_atom_site_label
_atom_site_fract_x
_atom_site_fract_y
_atom_site_fract_z
Pa1 0.007 0.000 0.225
Pa2 0.160 0.500 0.101
Pa3 0.176 0.500 0.566
As1 0.000 0.500 0.500
C1 0.000 0.500 0.000
C2 0.166 0.000 0.331
S1 0.167 0.000 0.832
```

ΔE_f (raw)   -1130 kJ/mol of formula units